{"formula": "Ir2OsRh9", "functional": "PBE-GGA", "state": "optimized geometry", "mass_density_g_cm3": 14.60, "n_ef_per_ev_atom": 0.944, "delta_e_f_ev_per_atom": 0.02, "crystal_system": "tetragonal", "spacegroup": "P4/mmm (123)", "cell": [[3.846, 0.000, 0.000], [0.000, 3.846, 0.000], [0.000, 0.000, 11.539]], "species": ["Ir", "Ir", "Os", "Rh", "Rh", "Rh", "Rh", "Rh", "Rh", "Rh", "Rh", "Rh"], "frac_coords": [[0.000, 0.000, 0.165], [0.000, 0.000, 0.835], [0.000, 0.000, 0.500], [0.000, 0.500, 0.000], [0.000, 0.500, 0.335], [0.000, 0.500, 0.665], [0.500, 0.000, 0.000], [0.500, 0.000, 0.335], [0.500, 0.000, 0.665], [0.500, 0.500, 0.168], [0.500, 0.500, 0.500], [0.500, 0.500, 0.832]]}